Below is crystalline Na2Pm3HoSe6 at its relaxed geometry, with properties calculated at the PBE level.

Results
Formation energy from raw total energies (eV/atom): -1.73
Space group: C2/m

Unit cell a=7.2307 b=7.2307 c=7.2552 alpha=99.53 beta=99.53 gamma=119.94
Last column: nearest neighbours and their distance in Å.
Positions (direct):
Na  0.1656  0.8344  0.0000  6 Se 2.95-2.97
Na  0.8344  0.1656  0.0000  6 Se 2.95-2.97
Pm  0.0000  0.0000  0.5000  6 Se 2.96-3.01
Pm  0.3298  0.6702  0.5000  6 Se 2.96-2.99
Pm  0.6702  0.3298  0.5000  6 Se 2.96-2.99
Ho  0.5000  0.5000  0.0000  6 Se 2.89-2.91
Se  0.0924  0.4186  0.7558  1 Ho 2.89, 2 Na 2.95-2.97, 3 Pm 2.96-2.99
Se  0.2579  0.2579  0.2494  1 Ho 2.91, 3 Pm 2.97-3.01, 2 Na 2.97
Se  0.4186  0.0924  0.7558  1 Ho 2.89, 2 Na 2.95-2.97, 3 Pm 2.96-2.99
Se  0.5814  0.9076  0.2442  1 Ho 2.89, 2 Na 2.95-2.97, 3 Pm 2.96-2.99
Se  0.7421  0.7421  0.7506  1 Ho 2.91, 3 Pm 2.97-3.01, 2 Na 2.97
Se  0.9076  0.5814  0.2442  1 Ho 2.89, 2 Na 2.95-2.97, 3 Pm 2.96-2.99


Below is crystalline KNa2BiF at its relaxed geometry, with properties calculated at the PBE level.

Results
Formation energy from raw total energies (eV/atom): -1.18
Space group: P4/mmm

Unit cell a=5.0187 b=5.0187 c=5.1735 alpha=90.00 beta=90.00 gamma=90.00
Last column: nearest neighbours and their distance in Å.
Positions (direct):
K  0.0000  0.0000  0.0000  2 F 2.59
Na  0.0000  0.5000  0.5000  2 F 2.51
Na  0.5000  0.0000  0.5000  2 F 2.51
Bi  0.5000  0.5000  0.0000  4 K 3.55, 8 Na 3.60
F  0.0000  0.0000  0.5000  4 Na 2.51, 2 K 2.59


Below is crystalline BaNb3Ni at its relaxed geometry, with properties calculated at the PBE level.

Results
Space group: Pm-3m
E_form (meV per atom): 2799

Unit cell a=5.0152 b=5.0152 c=5.0152 alpha=90.00 beta=90.00 gamma=90.00
Last column: nearest neighbours and their distance in Å.
Positions (direct):
Ba  0.0000  0.0000  0.0000  6 Nb 2.51
Nb  0.0000  0.0000  0.5000  2 Ba 2.51
Nb  0.0000  0.5000  0.0000  2 Ba 2.51
Nb  0.5000  0.0000  0.0000  2 Ba 2.51
Ni  0.5000  0.5000  0.5000  12 Nb 3.55


Below is crystalline TaCr2Os at its relaxed geometry, with properties calculated at the PBE level.

Results
Space group: Cmm2
E_form (meV per atom): 154

Unit cell a=2.6961 b=2.6961 c=8.3563 alpha=90.00 beta=90.00 gamma=111.67
Last column: nearest neighbours and their distance in Å.
Positions (direct):
Ta  0.0000  0.0000  0.0000  2 Cr 2.66, 4 Ta 2.70, 2 Os 2.75
Cr  0.0000  0.0000  0.4773  2 Cr 2.35, 2 Os 2.57
Cr  0.5000  0.5000  0.2615  2 Cr 2.35
Os  0.5000  0.5000  0.7254  2 Cr 2.57, 4 Os 2.70, 2 Ta 2.75


Below is crystalline YSiOs at its relaxed geometry, with properties calculated at the PBE level.

Results
Formation energy from raw total energies (eV/atom): -0.03
Space group: F-43m

Unit cell a=4.4394 b=4.4394 c=4.4394 alpha=60.00 beta=60.00 gamma=60.00
Last column: nearest neighbours and their distance in Å.
Positions (direct):
Y  0.0000  0.0000  0.0000  4 Os 2.72
Si  0.5000  0.5000  0.5000  4 Os 2.72
Os  0.2500  0.2500  0.2500  4 Si 2.72, 4 Y 2.72


Below is crystalline NdMgCdGa at its relaxed geometry, with properties calculated at the PBE level.

Results
Space group: F-43m
E_form (meV per atom): -367

Unit cell a=5.1076 b=5.1076 c=5.1076 alpha=60.00 beta=60.00 gamma=60.00
Last column: nearest neighbours and their distance in Å.
Positions (direct):
Nd  0.0000  0.0000  0.0000  4 Cd 3.13, 4 Ga 3.13
Mg  0.5000  0.5000  0.5000  4 Cd 3.13, 4 Ga 3.13
Cd  0.2500  0.2500  0.2500  4 Nd 3.13, 4 Mg 3.13
Ga  0.7500  0.7500  0.7500  4 Mg 3.13, 4 Nd 3.13


Below is crystalline CoSb2TeH at its relaxed geometry, with properties calculated at the PBE level.

Results
Space group: P4/mmm
Uncorrected energy (eV for the cell shown): -18.0

Unit cell a=4.3132 b=4.3132 c=5.4548 alpha=90.00 beta=90.00 gamma=90.00
Last column: nearest neighbours and their distance in Å.
Positions (direct):
Co  0.0000  0.0000  0.0000  4 Te 3.05
Sb  0.0000  0.5000  0.5000  2 H 2.16
Sb  0.5000  0.0000  0.5000  2 H 2.16
Te  0.5000  0.5000  0.0000  2 H 2.73, 4 Co 3.05
H  0.5000  0.5000  0.5000  4 Sb 2.16


Below is crystalline DyEr5Bi4 at its relaxed geometry, with properties calculated at the PBE level.

Results
Space group: C2/m
E_form (meV per atom): -533

Unit cell a=10.1162 b=10.1162 c=7.6491 alpha=101.04 beta=101.04 gamma=24.94
Last column: nearest neighbours and their distance in Å.
Positions (direct):
Dy  0.0000  0.0000  0.0000  6 Bi 3.16-3.26
Er  0.0000  0.0000  0.5000  6 Bi 3.13-3.20
Er  0.3034  0.3034  0.3873  4 Bi 3.15-3.28
Er  0.3113  0.3113  0.9137  3 Bi 3.07-3.17
Er  0.6887  0.6887  0.0863  3 Bi 3.07-3.17
Er  0.6966  0.6966  0.6127  4 Bi 3.15-3.28
Bi  0.1344  0.1344  0.3253  6 Er 3.17-3.28, 1 Dy 3.26
Bi  0.4373  0.4373  0.2216  4 Er 3.07-3.15, 2 Dy 3.16
Bi  0.5627  0.5627  0.7784  4 Er 3.07-3.15, 2 Dy 3.16
Bi  0.8656  0.8656  0.6747  6 Er 3.17-3.28, 1 Dy 3.26


Below is crystalline MgCo2Ir at its relaxed geometry, with properties calculated at the PBE level.

Results
Space group: Immm
E_form (meV per atom): 54

Unit cell a=5.0069 b=5.0069 c=5.0069 alpha=145.63 beta=130.29 gamma=61.83
Last column: nearest neighbours and their distance in Å.
Positions (direct):
Mg  0.0000  0.0000  0.0000  4 Ir 2.57, 4 Co 2.64
Co  0.2548  0.7548  0.5000  4 Co 2.57, 2 Ir 2.57, 2 Mg 2.64
Co  0.7452  0.2452  0.5000  4 Co 2.57, 2 Ir 2.57, 2 Mg 2.64
Ir  0.5000  0.5000  0.0000  4 Mg 2.57, 4 Co 2.57


Below is crystalline SbBrNF2 at its relaxed geometry, with properties calculated at the PBE level.

Results
Formation energy from raw total energies (eV/atom): 0.63
Space group: P4/mmm

Unit cell a=4.3864 b=4.3864 c=4.3500 alpha=90.00 beta=90.00 gamma=90.00
Last column: nearest neighbours and their distance in Å.
Positions (direct):
Sb  0.0000  0.0000  0.0000  8 F 3.09, 4 N 3.10
Br  0.5000  0.5000  0.5000  2 N 2.18, 4 F 2.19
N  0.5000  0.5000  0.0000  2 Br 2.18
F  0.0000  0.5000  0.5000  2 Br 2.19
F  0.5000  0.0000  0.5000  2 Br 2.19


Below is crystalline HfGaMo at its relaxed geometry, with properties calculated at the PBE level.

Results
Space group: P3m1
E_form (meV per atom): -27

Unit cell a=4.6456 b=4.6456 c=2.8282 alpha=90.00 beta=90.00 gamma=120.00
Last column: nearest neighbours and their distance in Å.
Positions (direct):
Hf  0.0000  0.0000  0.0000  2 Hf 2.83, 3 Mo 2.84, 6 Ga 2.95-3.12
Ga  0.3333  0.6667  0.5667  3 Mo 2.77, 2 Ga 2.83, 3 Hf 2.95
Mo  0.6667  0.3333  0.3268  3 Ga 2.77, 2 Mo 2.83, 3 Hf 2.84


Below is crystalline Dy4Tl5Bi at its relaxed geometry, with properties calculated at the PBE level.

Results
Space group: Pmmn
E_form (meV per atom): -104

Unit cell a=7.7797 b=10.1705 c=7.8280 alpha=90.00 beta=90.00 gamma=90.00
Last column: nearest neighbours and their distance in Å.
Positions (direct):
Dy  0.0155  0.2500  0.1930  3 Tl 3.09-3.18, 1 Bi 3.18
Dy  0.2500  0.0629  0.5209  1 Bi 3.19, 5 Tl 3.31-3.36
Dy  0.2500  0.4371  0.5209  1 Bi 3.19, 5 Tl 3.31-3.36
Dy  0.4845  0.2500  0.1930  3 Tl 3.09-3.18, 1 Bi 3.18
Dy  0.5155  0.7500  0.8070  3 Tl 3.09-3.18, 1 Bi 3.18
Dy  0.7500  0.5629  0.4791  1 Bi 3.19, 5 Tl 3.31-3.36
Dy  0.7500  0.9371  0.4791  1 Bi 3.19, 5 Tl 3.31-3.36
Dy  0.9845  0.7500  0.8070  3 Tl 3.09-3.18, 1 Bi 3.18
Tl  0.0537  0.5608  0.1816  3 Tl 3.05-3.21, 3 Dy 3.18-3.32
Tl  0.0537  0.9392  0.1816  3 Tl 3.05-3.21, 3 Dy 3.18-3.32
Tl  0.2500  0.2500  0.8746  4 Tl 3.08, 4 Dy 3.09-3.36
Tl  0.4463  0.5608  0.1816  3 Tl 3.05-3.21, 3 Dy 3.18-3.32
Tl  0.4463  0.9392  0.1816  3 Tl 3.05-3.21, 3 Dy 3.18-3.32
Tl  0.5537  0.0608  0.8184  3 Tl 3.05-3.21, 3 Dy 3.18-3.32
Tl  0.5537  0.4392  0.8184  3 Tl 3.05-3.21, 3 Dy 3.18-3.32
Tl  0.7500  0.7500  0.1254  4 Tl 3.08, 4 Dy 3.09-3.36
Tl  0.9463  0.0608  0.8184  3 Tl 3.05-3.21, 3 Dy 3.18-3.32
Tl  0.9463  0.4392  0.8184  3 Tl 3.05-3.21, 3 Dy 3.18-3.32
Bi  0.2500  0.7500  0.4990  4 Dy 3.18-3.19, 4 Tl 3.49
Bi  0.7500  0.2500  0.5010  4 Dy 3.18-3.19, 4 Tl 3.49